Entry 1:
## ZrCuBr2Cl2 (PBE)

Data for a geometry-optimized ZrCuBr2Cl2 structure.

SG: No. 1
Raw total energy: -4.159 eV per atom

Cell: 5.9278 5.9394 6.8136 Å, 114.88 114.94 90.34°
With the nearest neighbours (Å) after each atom.
Element x y z (fractional)
Br 0.8667 0.3802 0.2369  1 Cu 2.44, 1 Zr 2.58
Zr 0.2650 0.7504 0.5001  2 Cl 2.43, 2 Br 2.58
Cl 0.6095 0.6378 0.7709  1 Cu 2.32, 1 Zr 2.43
Cu 0.4983 0.5045 0.0000  2 Cl 2.32-2.33, 2 Br 2.44-2.45
Br 0.1404 0.1350 0.7623  1 Cu 2.45, 1 Zr 2.58
Cl 0.3702 0.8422 0.2298  1 Cu 2.33, 1 Zr 2.43


Entry 2:
## GdAuBr (PBE)

Data for a geometry-optimized GdAuBr structure.

SG: No. 44
Raw total energy: -4.052 eV per atom

Cell: 6.0398 6.0398 6.0398 Å, 144.94 144.70 50.61°
With the nearest neighbours (Å) after each atom.
Element x y z (fractional)
Gd 0.3214 0.3214 0.0000  4 Au 3.03, 4 Br 3.08
Au 0.6765 0.6765 0.0000  4 Gd 3.03, 1 Br 3.25
Br 0.9744 0.9744 0.0000  4 Gd 3.08, 5 Au 3.25-3.40


Entry 3:
## Ta2NbAl (PBE)

Data for a geometry-optimized Ta2NbAl structure.

SG: No. 216
Raw total energy: -9.427 eV per atom

Cell: 4.6399 4.6399 4.6399 Å, 60.00 60.00 60.00°
With the nearest neighbours (Å) after each atom.
Element x y z (fractional)
Al 0.0000 0.0000 0.0000  4 Nb 2.84, 4 Ta 2.84
Ta 0.2500 0.2500 0.2500  4 Ta 2.84, 4 Al 2.84
Nb 0.7500 0.7500 0.7500  4 Ta 2.84, 4 Al 2.84
Ta 0.5000 0.5000 0.5000  4 Nb 2.84, 4 Ta 2.84


Entry 4:
## ScCoSb2 (PBE)

Data for a geometry-optimized ScCoSb2 structure.

SG: No. 216
Raw total energy: -5.278 eV per atom

Cell: 4.8934 4.8934 4.8934 Å, 60.00 60.00 60.00°
With the nearest neighbours (Å) after each atom.
Element x y z (fractional)
Sb 0.0000 0.0000 0.0000  4 Sb 3.00, 4 Co 3.00
Sc 0.5000 0.5000 0.5000  4 Co 3.00, 4 Sb 3.00
Co 0.2500 0.2500 0.2500  4 Sb 3.00, 4 Sc 3.00
Sb 0.7500 0.7500 0.7500  4 Sb 3.00, 4 Sc 3.00


Entry 5:
## Li2AgIr (PBE)

Data for a geometry-optimized Li2AgIr structure.

SG: No. 216
Raw total energy: -3.747 eV per atom

Cell: 4.3862 4.3862 4.3862 Å, 60.00 60.00 60.00°
With the nearest neighbours (Å) after each atom.
Element x y z (fractional)
Li 0.0000 0.0000 0.0000  4 Ir 2.69, 4 Li 2.69
Ag 0.5000 0.5000 0.5000  4 Ir 2.69, 4 Li 2.69
Ir 0.2500 0.2500 0.2500  4 Li 2.69, 4 Ag 2.69
Li 0.7500 0.7500 0.7500  4 Ag 2.69, 4 Li 2.69


Entry 6:
## Y2Ag2Se3S (PBE)

Data for a geometry-optimized Y2Ag2Se3S structure.

SG: No. 8
Raw total energy: -5.400 eV per atom

Cell: 6.7380 6.7380 4.2643 Å, 90.55 90.55 91.54°
With the nearest neighbours (Å) after each atom.
Element x y z (fractional)
Se 0.2033 0.7970 0.2858  2 Ag 2.71, 3 Y 2.87-2.93
Ag 0.4985 0.9978 0.9861  1 S 2.68, 3 Se 2.71-2.72
S 0.7011 0.7011 0.7326  2 Ag 2.68, 3 Y 2.74-2.84
Se 0.2987 0.2987 0.7158  2 Ag 2.72, 3 Y 2.88-2.94
Se 0.7970 0.2033 0.2858  2 Ag 2.71, 3 Y 2.87-2.93
Y 0.5096 0.5096 0.2125  2 S 2.74-2.84, 4 Se 2.88-2.94
Y 0.9940 0.9940 0.7951  1 S 2.76, 5 Se 2.87-2.93
Ag 0.9978 0.4985 0.9861  1 S 2.68, 3 Se 2.71-2.72


Entry 7:
## Be2ZnSi (PBE)

Data for a geometry-optimized Be2ZnSi structure.

SG: No. 216
Raw total energy: -2.997 eV per atom

Cell: 4.0765 4.0765 4.0765 Å, 60.00 60.00 60.00°
With the nearest neighbours (Å) after each atom.
Element x y z (fractional)
Si 0.5000 0.5000 0.5000  4 Be 2.50, 4 Zn 2.50
Zn 0.2500 0.2500 0.2500  4 Be 2.50, 4 Si 2.50
Be 0.7500 0.7500 0.7500  4 Si 2.50, 4 Be 2.50
Be 0.0000 0.0000 0.0000  4 Zn 2.50, 4 Be 2.50


Entry 8:
## KSmCoSe3 (PBE)

Data for a geometry-optimized KSmCoSe3 structure.

SG: No. 62
Raw total energy: -5.050 eV per atom

Cell: 15.1429 4.0715 11.1359 Å, 90.00 90.00 90.00°
With the nearest neighbours (Å) after each atom.
Element x y z (fractional)
Se 0.1038 0.2500 0.4260  3 Sm 2.88-2.91
Se 0.8727 0.2500 0.2296  1 Co 2.42
Sm 0.0194 0.2500 0.6572  6 Se 2.88-3.01
Se 0.6038 0.2500 0.0740  3 Sm 2.88-2.91
Sm 0.4806 0.7500 0.1572  6 Se 2.88-3.01
Se 0.4249 0.2500 0.6051  3 Co 2.32-2.42
Se 0.3962 0.7500 0.9260  3 Sm 2.88-2.91
Se 0.3727 0.2500 0.2704  1 Co 2.42
K 0.2301 0.2500 0.9647  6 Se 3.26-3.48
Sm 0.5194 0.2500 0.8428  6 Se 2.88-3.01
Se 0.9249 0.2500 0.8949  3 Co 2.32-2.42
K 0.7301 0.2500 0.5353  6 Se 3.26-3.48
K 0.2699 0.7500 0.4647  6 Se 3.26-3.48
Co 0.5097 0.7500 0.5828  4 Se 2.32-2.42
Co 0.4903 0.2500 0.4172  4 Se 2.32-2.42
Co 0.9903 0.2500 0.0828  4 Se 2.32-2.42
Se 0.0751 0.7500 0.1051  3 Co 2.32-2.42
K 0.7699 0.7500 0.0353  6 Se 3.26-3.48
Se 0.1273 0.7500 0.7704  1 Co 2.42
Se 0.5751 0.7500 0.3949  3 Co 2.32-2.42
Co 0.0097 0.7500 0.9172  4 Se 2.32-2.42
Sm 0.9806 0.7500 0.3428  6 Se 2.88-3.01
Se 0.6273 0.7500 0.7296  1 Co 2.42
Se 0.8962 0.7500 0.5740  3 Sm 2.88-2.91


Entry 9:
## NaHfAlPt (PBE)

Data for a geometry-optimized NaHfAlPt structure.

SG: No. 216
Raw total energy: -5.527 eV per atom

Cell: 4.6837 4.6837 4.6837 Å, 60.00 60.00 60.00°
With the nearest neighbours (Å) after each atom.
Element x y z (fractional)
Al 0.0000 0.0000 0.0000  4 Na 2.87, 4 Hf 2.87
Hf 0.2500 0.2500 0.2500  4 Al 2.87, 4 Pt 2.87
Na 0.7500 0.7500 0.7500  4 Al 2.87, 4 Pt 2.87
Pt 0.5000 0.5000 0.5000  4 Na 2.87, 4 Hf 2.87


Entry 10:
## TaFeSbW (PBE)

Data for a geometry-optimized TaFeSbW structure.

SG: No. 216
Raw total energy: -9.029 eV per atom

Cell: 4.5010 4.5010 4.5010 Å, 60.00 60.00 60.00°
With the nearest neighbours (Å) after each atom.
Element x y z (fractional)
Fe 0.7500 0.7500 0.7500  4 Ta 2.76, 4 Sb 2.76
W 0.2500 0.2500 0.2500  4 Ta 2.76, 4 Sb 2.76
Ta 0.5000 0.5000 0.5000  4 W 2.76, 4 Fe 2.76
Sb 0.0000 0.0000 0.0000  4 Fe 2.76, 4 W 2.76


Entry 11:
## Y4CdCoC2 (PBE)

Data for a geometry-optimized Y4CdCoC2 structure.

SG: No. 187
Raw total energy: -6.673 eV per atom

Cell: 3.5950 3.5950 14.9227 Å, 90.00 90.00 120.00°
With the nearest neighbours (Å) after each atom.
Element x y z (fractional)
Y 0.6667 0.3333 0.8158  3 C 2.43
C 0.0000 0.0000 0.7314  6 Y 2.43-2.54
C 0.0000 0.0000 0.2686  6 Y 2.43-2.54
Co 0.6667 0.3333 0.5000  6 Y 2.88
Y 0.3333 0.6667 0.3664  3 C 2.54
Cd 0.3333 0.6667 0.0000  6 Y 3.44, 6 Cd 3.60
Y 0.3333 0.6667 0.6336  3 C 2.54
Y 0.6667 0.3333 0.1842  3 C 2.43


Entry 12:
## PuSiOs (PBE)

Data for a geometry-optimized PuSiOs structure.

SG: No. 216
Raw total energy: -10.275 eV per atom

Cell: 4.3590 4.3590 4.3590 Å, 60.00 60.00 60.00°
With the nearest neighbours (Å) after each atom.
Element x y z (fractional)
Si 0.7500 0.7500 0.7500  4 Os 2.67
Os 0.0000 0.0000 0.0000  4 Si 2.67, 4 Pu 2.67
Pu 0.2500 0.2500 0.2500  4 Os 2.67


Entry 13:
## Tl2MoPd (PBE)

Data for a geometry-optimized Tl2MoPd structure.

SG: No. 216
Raw total energy: -4.512 eV per atom

Cell: 4.8773 4.8773 4.8773 Å, 60.00 60.00 60.00°
With the nearest neighbours (Å) after each atom.
Element x y z (fractional)
Tl 0.5000 0.5000 0.5000  4 Tl 2.99, 4 Mo 2.99
Tl 0.2500 0.2500 0.2500  4 Pd 2.99, 4 Tl 2.99
Pd 0.0000 0.0000 0.0000  4 Tl 2.99, 4 Mo 2.99
Mo 0.7500 0.7500 0.7500  4 Tl 2.99, 4 Pd 2.99


Entry 14:
## ReBi2Mo (PBE)

Data for a geometry-optimized ReBi2Mo structure.

SG: No. 216
Raw total energy: -6.668 eV per atom

Cell: 4.9062 4.9062 4.9062 Å, 60.00 60.00 60.00°
With the nearest neighbours (Å) after each atom.
Element x y z (fractional)
Mo 0.7500 0.7500 0.7500  4 Bi 3.00, 4 Re 3.00
Re 0.0000 0.0000 0.0000  4 Mo 3.00, 4 Bi 3.00
Bi 0.5000 0.5000 0.5000  4 Mo 3.00, 4 Bi 3.00
Bi 0.2500 0.2500 0.2500  4 Bi 3.00, 4 Re 3.00


Entry 15:
## Nd4IBr2NCl2 (PBE)

Data for a geometry-optimized Nd4IBr2NCl2 structure.

SG: No. 12
Raw total energy: -5.257 eV per atom

Cell: 9.2257 9.2257 8.6994 Å, 104.35 104.35 24.41°
With the nearest neighbours (Å) after each atom.
Element x y z (fractional)
Nd 0.0004 0.0004 0.1939  2 N 2.58, 1 Cl 2.84
Nd 0.9996 0.9996 0.8061  2 N 2.58, 1 Cl 2.84
Cl 0.1617 0.1617 0.3199  3 Nd 2.83-2.84
Br 0.8292 0.8292 0.1620  4 Nd 3.00-3.30
N 0.5000 0.5000 0.0000  6 Nd 2.44-2.58
Nd 0.6399 0.6399 0.0770  1 N 2.44
Br 0.1708 0.1708 0.8380  4 Nd 3.00-3.30
I 0.5000 0.5000 0.5000  4 Nd 3.30
Nd 0.3601 0.3601 0.9230  1 N 2.44
Cl 0.8383 0.8383 0.6801  3 Nd 2.83-2.84


Entry 16:
## SrReNO (PBE)

Data for a geometry-optimized SrReNO structure.

SG: No. 29
Raw total energy: -7.843 eV per atom

Cell: 5.1826 8.3973 5.1726 Å, 90.00 90.00 90.00°
With the nearest neighbours (Å) after each atom.
Element x y z (fractional)
O 0.0255 0.8461 0.5091  1 Re 2.29, 3 Sr 2.47-2.56
Re 0.5135 0.4271 0.5138  3 N 1.97-2.01
Sr 0.9988 0.8497 0.9921  1 N 2.40, 4 O 2.47-2.68
Sr 0.5012 0.8497 0.4921  1 N 2.40, 4 O 2.47-2.68
O 0.9745 0.1539 0.0091  1 Re 2.29, 3 Sr 2.47-2.56
O 0.5255 0.1539 0.5091  1 Re 2.29, 3 Sr 2.47-2.56
N 0.8279 0.6133 0.1873  3 Re 1.97-2.01
Re 0.0135 0.5729 0.5138  3 N 1.97-2.01
O 0.4745 0.8461 0.0091  1 Re 2.29, 3 Sr 2.47-2.56
N 0.6721 0.6133 0.6873  3 Re 1.97-2.01
Sr 0.4988 0.1503 0.9921  1 N 2.40, 4 O 2.47-2.68
N 0.3279 0.3867 0.1873  3 Re 1.97-2.01
Re 0.9865 0.4271 0.0138  3 N 1.97-2.01
Sr 0.0012 0.1503 0.4921  1 N 2.40, 4 O 2.47-2.68
N 0.1721 0.3867 0.6873  3 Re 1.97-2.01
Re 0.4865 0.5729 0.0138  3 N 1.97-2.01


Entry 17:
## PaO2 (PBE)

Data for a geometry-optimized PaO2 structure.

SG: No. 225
Raw total energy: -9.237 eV per atom

Cell: 3.8859 3.8859 3.8859 Å, 120.00 90.00 120.00°
With the nearest neighbours (Å) after each atom.
Element x y z (fractional)
O 0.7500 0.5000 0.2500  4 Pa 2.38
Pa 0.0000 0.0000 0.0000  8 O 2.38
O 0.2500 0.5000 0.7500  4 Pa 2.38


Entry 18:
## Li2ReGeO6 (PBE)

Data for a geometry-optimized Li2ReGeO6 structure.

SG: No. 146
Raw total energy: -6.760 eV per atom

Cell: 5.4637 5.4637 5.4637 Å, 54.95 54.95 54.95°
With the nearest neighbours (Å) after each atom.
Element x y z (fractional)
Li 0.8608 0.8608 0.8608  6 O 2.04-2.24
O 0.4542 0.0636 0.7132  1 Re 1.88, 1 Ge 2.01, 1 Li 2.06
Li 0.1392 0.1392 0.1392  6 O 2.06-2.25
O 0.9351 0.2845 0.5492  1 Ge 1.86, 1 Re 1.98, 1 Li 2.04
O 0.7132 0.4542 0.0636  1 Re 1.88, 1 Ge 2.01, 1 Li 2.06
O 0.5492 0.9351 0.2845  1 Ge 1.86, 1 Re 1.98, 1 Li 2.04
Ge 0.6511 0.6511 0.6511  6 O 1.86-2.01
Re 0.3450 0.3450 0.3450  6 O 1.88-1.98
O 0.2845 0.5492 0.9351  1 Ge 1.86, 1 Re 1.98, 1 Li 2.04
O 0.0636 0.7132 0.4542  1 Re 1.88, 1 Ge 2.01, 1 Li 2.06


Entry 19:
## ZnSeO4 (PBE)

Data for a geometry-optimized ZnSeO4 structure.

SG: No. 31
Raw total energy: -4.929 eV per atom

Cell: 5.9944 4.8793 4.8044 Å, 90.00 90.00 90.00°
With the nearest neighbours (Å) after each atom.
Element x y z (fractional)
Se 0.5000 0.8470 0.4781  4 O 1.65-1.70
O 0.2844 0.6753 0.3296  1 Se 1.70
O 0.0000 0.1860 0.3206  1 Se 1.65
Zn 0.5000 0.4268 0.0338  6 O 2.03-2.27
O 0.7844 0.3247 0.8296  1 Se 1.70
O 0.7156 0.6753 0.3296  1 Se 1.70
O 0.2156 0.3247 0.8296  1 Se 1.70
O 0.0000 0.8298 0.8802  1 Se 1.65
Zn 0.0000 0.5732 0.5338  6 O 2.03-2.27
Se 0.0000 0.1530 0.9781  4 O 1.65-1.70
O 0.5000 0.1702 0.3802  1 Se 1.65
O 0.5000 0.8140 0.8206  1 Se 1.65


Entry 20:
## Tb2Ta2O5 (PBE)

Data for a geometry-optimized Tb2Ta2O5 structure.

SG: No. 123
Raw total energy: -8.637 eV per atom

Cell: 9.8877 3.4815 3.4815 Å, 90.00 90.00 90.00°
With the nearest neighbours (Å) after each atom.
Element x y z (fractional)
O 0.5000 0.5000 0.5000  2 Tb 2.31, 4 Ta 2.46
Ta 0.5000 0.0000 0.0000  4 O 2.46
Ta 0.0000 0.0000 0.0000  8 O 2.11
O 0.1204 0.0000 0.5000  2 Ta 2.11, 2 Tb 2.26
Tb 0.2667 0.5000 0.5000  5 O 2.26-2.31
O 0.1204 0.5000 0.0000  2 Ta 2.11, 2 Tb 2.26
O 0.8796 0.0000 0.5000  2 Ta 2.11, 2 Tb 2.26
O 0.8796 0.5000 0.0000  2 Ta 2.11, 2 Tb 2.26
Tb 0.7333 0.5000 0.5000  5 O 2.26-2.31